Computed, not measured: an optimized crystal structure of V3SbO9 at the PBE+U level of DFT.

Cell: 15.207 7.662 10.833 Å, 90.00 127.28 90.00°
Space group Cc (No. 9)
Asymmetric unit:
V1 0.000 0.046 0.000 [4 per cell]
V2 0.101 0.417 0.932 [4 per cell]
V3 0.386 0.144 0.591 [4 per cell]
Sb1 0.244 0.263 0.744 [4 per cell]
O1 0.061 0.202 0.948 [4 per cell]
O2 0.095 0.108 0.621 [4 per cell]
O3 0.147 0.461 0.597 [4 per cell]
O4 0.199 0.400 0.910 [4 per cell]
O5 0.271 0.186 0.586 [4 per cell]
O6 0.347 0.029 0.438 [4 per cell]
O7 0.390 0.451 0.839 [4 per cell]
O8 0.454 0.341 0.597 [4 per cell]
O9 0.484 0.021 0.765 [4 per cell]

Calculated values
Density of states at the Fermi level, states/eV/f.u.: 0.0
VASP energy, eV/atom: -7.2039
Magnetization, μB/cell: 0.00